1.
Material: HfTlGe2O8
Method: DFT, GGA-PBE
State: relaxed

The space group is I-4m2 (No. 119) and the conventional cell measures 6.883, 6.883 and 6.432 Å, with angles of 90.00, 90.00 and 90.00 degrees. The asymmetric unit holds Hf at (0.000, 0.000, 0.000), Tl at (0.000, 0.500, 0.750), Ge at (0.000, 0.000, 0.500), Ge at (0.000, 0.500, 0.250), O at (0.000, 0.177, 0.700) and O at (0.000, 0.303, 0.073).

Its crystal system is tetragonal. The calculation puts the uncorrected formation energy at -1687 meV/atom. The calculation puts the size of the total moment at 0.08 μB per atom.


2.
Material: La12Pm5Ho2
Method: DFT, GGA-PBE
State: relaxed

The space group is P-1 (No. 2) and the conventional cell measures 6.349, 10.929 and 10.944 Å, with angles of 66.30, 79.59 and 79.48 degrees. The asymmetric unit holds La at (0.005, 0.383, 0.384), La at (0.199, 0.046, 0.564), La at (0.199, 0.563, 0.047), La at (0.271, 0.946, 0.946), La at (0.378, 0.351, 0.856), La at (0.379, 0.856, 0.354), Pm at (0.146, 0.179, 0.180), Pm at (0.441, 0.714, 0.715), Pm at (0.500, 0.500, 0.500) and Ho at (0.003, 0.733, 0.266).

Its crystal system is triclinic. The calculation puts the size of the total moment at 0.00 μB per atom. As for the excess energy over the best structure of this formula in the dataset: 0.0 meV/atom.


3.
Material: CaPm2Zn2Pd5
Method: DFT, GGA-PBE
State: relaxed

The space group is P4/mbm (No. 127) and the conventional cell measures 10.029, 10.029 and 3.919 Å, with angles of 90.00, 90.00 and 90.00 degrees. The asymmetric unit holds Ca at (0.000, 0.000, 0.000), Pm at (0.179, 0.321, 0.000), Zn at (0.116, 0.616, 0.000), Pd at (0.000, 0.500, 0.500) and Pd at (0.071, 0.782, 0.500).

Its crystal system is tetragonal. The value obtained for the total energy is -4.6657 eV/atom. The calculation puts the size of the total moment at 0.00 μB per atom.


4.
Material: CoMoCl2
Method: DFT, GGA-PBE
State: relaxed

The space group is I-42d (No. 122) and the conventional cell measures 5.278, 5.278 and 10.381 Å, with angles of 90.00, 90.00 and 90.00 degrees. The asymmetric unit holds Co at (0.000, 0.000, 0.000), Mo at (0.000, 0.000, 0.500) and Cl at (0.226, 0.250, 0.125).

Its crystal system is tetragonal. The calculation puts the uncorrected formation energy at 606 meV/atom. The calculation puts the size of the total moment at 0.26 μB per atom. As for the excess energy over the best structure of this formula in the dataset: 791.9 meV/atom.


5.
Material: LiCrCu4
Method: DFT, GGA-PBE
State: relaxed

The space group is F-43m (No. 216) and the conventional cell measures 6.888, 6.888 and 6.888 Å, with angles of 90.00, 90.00 and 90.00 degrees. The asymmetric unit holds Li at (0.000, 0.000, 0.000), Cr at (0.250, 0.250, 0.250) and Cu at (0.125, 0.125, 0.625).

Its crystal system is cubic. The value obtained for the total energy is -4.5267 eV/atom. The calculation puts the size of the total moment at 0.76 μB per atom.


6.
Material: Ho3InNi
Method: DFT, GGA-PBE
State: relaxed

The space group is Cmmm (No. 65) and the conventional cell measures 9.975, 14.481 and 3.758 Å, with angles of 90.00, 90.00 and 90.00 degrees. The asymmetric unit holds Ho at (0.000, 0.187, 0.000), Ho at (0.206, 0.379, 0.500), In at (0.000, 0.000, 0.500), In at (0.000, 0.500, 0.000) and Ni at (0.250, 0.250, 0.000).

Its crystal system is orthorhombic. The calculation puts the size of the total moment at 0.00 μB per atom. As for the excess energy over the best structure of this formula in the dataset: 58.4 meV/atom.


7.
Material: ZrCuTe2
Method: DFT, GGA-PBE
State: relaxed

The space group is Immm (No. 71) and the conventional cell measures 3.924, 5.257 and 8.475 Å, with angles of 90.00, 90.00 and 90.00 degrees. The asymmetric unit holds Zr at (0.000, 0.000, 0.000), Cu at (0.000, 0.000, 0.500) and Te at (0.000, 0.500, 0.206).

Its crystal system is orthorhombic. The calculation puts the uncorrected formation energy at -253 meV/atom. The calculation puts the size of the total moment at 0.00 μB per atom.


8.
Material: LiCaZnAu2
Method: DFT, GGA-PBE
State: relaxed

The space group is P4/mmm (No. 123) and the conventional cell measures 5.499, 5.499 and 5.594 Å, with angles of 90.00, 90.00 and 90.00 degrees. The asymmetric unit holds Li at (0.000, 0.000, 0.000), Ca at (0.500, 0.500, 0.500), Zn at (0.500, 0.500, 0.000) and Au at (0.000, 0.500, 0.500).

Its crystal system is tetragonal. The calculation puts the size of the total moment at 0.00 μB per atom. As for the excess energy over the best structure of this formula in the dataset: 879.1 meV/atom.


9.
Material: LiCaTeN2
Method: DFT, GGA-PBE
State: relaxed

The space group is P4/mmm (No. 123) and the conventional cell measures 4.368, 4.368 and 5.210 Å, with angles of 90.00, 90.00 and 90.00 degrees. The asymmetric unit holds Li at (0.000, 0.000, 0.000), Ca at (0.500, 0.500, 0.500), Te at (0.000, 0.000, 0.500) and N at (0.000, 0.500, 0.000).

Its crystal system is tetragonal. The calculation puts the uncorrected formation energy at 885 meV/atom. The calculation puts the size of the total moment at 0.93 μB per atom. As for the excess energy over the best structure of this formula in the dataset: 0.0 meV/atom.


10.
Material: PuHf2N
Method: DFT, GGA-PBE
State: relaxed

The space group is R-3m (No. 166, hexagonal axes) and the conventional cell measures 3.1866, 3.1866 and 26.0639 Å, with angles of 90.00, 90.00 and 120.00 degrees. The asymmetric unit holds Pu at (0.0000, 0.0000, 0.0000), Hf at (0.0000, 0.0000, 0.1182) and N at (0.0000, 0.0000, 0.5000).

Its crystal system is trigonal. The calculation puts the uncorrected formation energy at -604 meV/atom. The calculation puts the size of the total moment at 1.36 μB per atom.


11.
Material: BeGe2S
Method: DFT, GGA-PBE
State: relaxed

The space group is Fm-3m (No. 225) and the conventional cell measures 6.405, 6.405 and 6.405 Å, with angles of 90.00, 90.00 and 90.00 degrees. The asymmetric unit holds Be at (0.000, 0.000, 0.000), Ge at (0.250, 0.250, 0.250) and S at (0.000, 0.000, 0.500).

Its crystal system is cubic. The calculation puts the uncorrected formation energy at 636 meV/atom. The calculation puts the size of the total moment at 0.00 μB per atom. As for the excess energy over the best structure of this formula in the dataset: 550.5 meV/atom.


12.
Material: Ac2MgCd6Ga
Method: DFT, GGA-PBE
State: relaxed

The space group is P-1 (No. 2) and the conventional cell measures 7.147, 7.204 and 7.326 Å, with angles of 61.38, 61.92 and 60.99 degrees. The asymmetric unit holds Ac at (0.184, 0.191, 0.438), Mg at (0.500, 0.500, 0.500), Cd at (0.153, 0.341, 0.866), Cd at (0.337, 0.643, 0.865), Cd at (0.363, 0.847, 0.132) and Ga at (0.000, 0.000, 0.000).

Its crystal system is triclinic. The value obtained for the total energy is -1.9840 eV/atom. The calculation puts the size of the total moment at 0.00 μB per atom.